DFT (PBE) results for a relaxed ErFe crystal.

- Energy of formation: 1.483 eV/atom
- VASP energy: -4.95 eV/atom
- Crystal system: cubic

Cell and atoms, written as CIF:
```
data_ErFe
_chemical_formula_sum 'Er4 Fe4'
_cell_length_a 5.996
_cell_length_b 5.996
_cell_length_c 5.996
_cell_angle_alpha 90.00
_cell_angle_beta 90.00
_cell_angle_gamma 90.00
_space_group_name_H-M_alt 'F -4 3 m'
_space_group_IT_number 216
_space_group_name_Hall 'F -4 2 3'
loop_
_atom_site_label
_atom_site_fract_x
_atom_site_fract_y
_atom_site_fract_z
_atom_site_occupancy
Er1 0.000 0.000 0.000 1
Fe1 0.250 0.250 0.750 1
```

***

DFT (PBE) results for a relaxed ErFe crystal.

- Energy of formation: 0.444 eV/atom
- VASP energy: -5.99 eV/atom
- Crystal system: hexagonal

Cell and atoms, written as CIF:
```
data_ErFe
_chemical_formula_sum 'Er1 Fe1'
_cell_length_a 3.4068
_cell_length_b 3.4068
_cell_length_c 3.9880
_cell_angle_alpha 90.00
_cell_angle_beta 90.00
_cell_angle_gamma 120.00
_space_group_name_H-M_alt 'P -6 m 2'
_space_group_IT_number 187
_space_group_name_Hall 'P -6 2'
loop_
_atom_site_label
_atom_site_fract_x
_atom_site_fract_y
_atom_site_fract_z
_atom_site_occupancy
Er1 0.0000 0.0000 0.0000 1
Fe1 0.6667 0.3333 0.5000 1
```

***

DFT (PBE) results for a relaxed Er2Fe17 crystal.

- Energy of formation: -0.022 eV/atom
- VASP energy: -7.94 eV/atom
- Crystal system: hexagonal

Cell and atoms, written as CIF:
```
data_Er2Fe17
_chemical_formula_sum 'Er4 Fe34'
_cell_length_a 8.3491
_cell_length_b 8.3491
_cell_length_c 8.2156
_cell_angle_alpha 90.00
_cell_angle_beta 90.00
_cell_angle_gamma 120.00
_space_group_name_H-M_alt 'P 63/m m c'
_space_group_IT_number 194
_space_group_name_Hall '-P 6c 2c'
loop_
_atom_site_label
_atom_site_fract_x
_atom_site_fract_y
_atom_site_fract_z
_atom_site_occupancy
Er1 0.0000 0.0000 0.2500 1
Er2 0.3333 0.6667 0.2500 1
Fe1 0.0000 0.5000 0.0000 1
Fe2 0.0360 0.3651 0.7500 1
Fe3 0.1655 0.3311 0.0143 1
Fe4 0.3333 0.6667 0.6073 1
```

***

DFT (PBE) results for a relaxed ErGa6Fe6 crystal.

- VASP energy: -5.90 eV/atom
- Crystal system: orthorhombic

Cell and atoms, written as CIF:
```
data_ErGa6Fe6
_chemical_formula_sum 'Er2 Ga12 Fe12'
_cell_length_a 5.010
_cell_length_b 8.462
_cell_length_c 8.625
_cell_angle_alpha 90.00
_cell_angle_beta 90.00
_cell_angle_gamma 90.00
_space_group_name_H-M_alt 'I m m m'
_space_group_IT_number 71
_space_group_name_Hall '-I 2 2'
loop_
_atom_site_label
_atom_site_fract_x
_atom_site_fract_y
_atom_site_fract_z
_atom_site_occupancy
Er1 0.000 0.000 0.000 1
Ga1 0.000 0.000 0.344 1
Ga2 0.000 0.333 0.000 1
Ga3 0.000 0.500 0.317 1
Fe1 0.000 0.257 0.500 1
Fe2 0.250 0.250 0.250 1
```

***

DFT (PBE) results for a relaxed Er2Ga8Fe crystal.

- VASP energy: -4.23 eV/atom
- Crystal system: tetragonal

Cell and atoms, written as CIF:
```
data_Er2Ga8Fe
_chemical_formula_sum 'Er2 Ga8 Fe1'
_cell_length_a 4.201
_cell_length_b 4.201
_cell_length_c 11.120
_cell_angle_alpha 90.00
_cell_angle_beta 90.00
_cell_angle_gamma 90.00
_space_group_name_H-M_alt 'P 4/m m m'
_space_group_IT_number 123
_space_group_name_Hall '-P 4 2'
loop_
_atom_site_label
_atom_site_fract_x
_atom_site_fract_y
_atom_site_fract_z
_atom_site_occupancy
Er1 0.000 0.000 0.195 1
Ga1 0.000 0.500 0.000 1
Ga2 0.000 0.500 0.384 1
Ga3 0.500 0.500 0.198 1
Fe1 0.000 0.000 0.500 1
```

***

DFT (PBE) results for a relaxed ErGa2Fe crystal.

- VASP energy: -5.13 eV/atom
- Crystal system: orthorhombic

Cell and atoms, written as CIF:
```
data_ErGa2Fe
_chemical_formula_sum 'Er4 Ga8 Fe4'
_cell_length_a 4.070
_cell_length_b 17.991
_cell_length_c 3.937
_cell_angle_alpha 90.00
_cell_angle_beta 90.00
_cell_angle_gamma 90.00
_space_group_name_H-M_alt 'C m m m'
_space_group_IT_number 65
_space_group_name_Hall '-C 2 2'
loop_
_atom_site_label
_atom_site_fract_x
_atom_site_fract_y
_atom_site_fract_z
_atom_site_occupancy
Er1 0.000 0.142 0.000 1
Ga1 0.000 0.000 0.500 1
Ga2 0.000 0.291 0.500 1
Ga3 0.000 0.500 0.000 1
Fe1 0.000 0.424 0.500 1
```

***

DFT (PBE) results for a relaxed Er4GaFe2Ge4 crystal.

- VASP energy: -5.79 eV/atom
- Crystal system: monoclinic

Cell and atoms, written as CIF:
```
data_Er4GaFe2Ge4
_chemical_formula_sum 'Er8 Ga2 Fe4 Ge8'
_cell_length_a 15.182
_cell_length_b 4.187
_cell_length_c 6.863
_cell_angle_alpha 90.00
_cell_angle_beta 106.76
_cell_angle_gamma 90.00
_space_group_name_H-M_alt 'C 1 2/m 1'
_space_group_IT_number 12
_space_group_name_Hall '-C 2y'
loop_
_atom_site_label
_atom_site_fract_x
_atom_site_fract_y
_atom_site_fract_z
_atom_site_occupancy
Er1 0.090 0.000 0.386 1
Er2 0.150 0.000 0.941 1
Ga1 0.000 0.500 0.000 1
Fe1 0.221 0.500 0.631 1
Ge1 0.067 0.500 0.663 1
Ge2 0.207 0.500 0.271 1
```

***

DFT (PBE) results for a relaxed Tb2ErGa3FeGe2 crystal.

- VASP energy: -5.14 eV/atom
- Crystal system: orthorhombic

Cell and atoms, written as CIF:
```
data_Tb2ErGa3FeGe2
_chemical_formula_sum 'Tb4 Er2 Ga6 Fe2 Ge4'
_cell_length_a 4.149
_cell_length_b 12.041
_cell_length_c 6.979
_cell_angle_alpha 90.00
_cell_angle_beta 90.00
_cell_angle_gamma 90.00
_space_group_name_H-M_alt 'A m m 2'
_space_group_IT_number 38
_space_group_name_Hall 'A 2 -2'
loop_
_atom_site_label
_atom_site_fract_x
_atom_site_fract_y
_atom_site_fract_z
_atom_site_occupancy
Tb1 0.000 0.200 0.000 1
Er1 0.000 0.000 0.599 1
Ga1 0.500 0.000 0.974 1
Ga2 0.500 0.113 0.314 1
Fe1 0.000 0.000 0.203 1
Ge1 0.500 0.165 0.700 1
```

***

- What is the VASP energy in the fifth record?
  -4.23 eV/atom